Entry 1:
Computed, not measured: SrSm2NbN4 after structural relaxation at the PBE-GGA level of DFT.

## Properties
Formation energy without anion corrections (eV/atom): -1.141
Magnetization (μB per formula unit): 0.00
Electronic total energy (eV/atom): -7.953
Space group: Cmcm (63)

a = 6.4581 Å, b = 6.4581 Å, c = 12.4408 Å
α = 90.00°, β = 90.00°, γ = 148.33°
Atoms (fractional coordinates):
1 Sr 0.0974 0.9026 0.7500
2 Sr 0.9026 0.0974 0.2500
3 Sm 0.3710 0.6290 0.5347
4 Sm 0.3710 0.6290 0.9653
5 Sm 0.6290 0.3710 0.0347
6 Sm 0.6290 0.3710 0.4653
7 Nb 0.1683 0.8317 0.2500
8 Nb 0.8317 0.1683 0.7500
9 N 0.0000 0.0000 0.0000
10 N 0.0000 0.0000 0.5000
11 N 0.2601 0.7399 0.1239
12 N 0.2601 0.7399 0.3761
13 N 0.4206 0.5794 0.7500
14 N 0.5794 0.4206 0.2500
15 N 0.7399 0.2601 0.6239
16 N 0.7399 0.2601 0.8761

=====

Entry 2:
Computed, not measured: La4Ce3DyTe8 after structural relaxation at the PBE-GGA level of DFT.

## Properties
Formation energy without anion corrections (eV/atom): -1.468
Magnetization (μB per formula unit): 1.15
Electronic total energy (eV/atom): -5.671
Space group: C2/m (12)

a = 9.0412 Å, b = 9.0412 Å, c = 9.0706 Å
α = 120.03°, β = 120.03°, γ = 59.87°
Atoms (fractional coordinates):
1 La 0.0000 0.0000 0.0000
2 La 0.0000 0.5000 0.5000
3 La 0.5000 0.0000 0.5000
4 La 0.5000 0.5000 0.0000
5 Ce 0.0000 0.0000 0.5000
6 Ce 0.0000 0.5000 0.0000
7 Ce 0.5000 0.0000 0.0000
8 Dy 0.5000 0.5000 0.5000
9 Te 0.2482 0.2482 0.7519
10 Te 0.2519 0.7441 0.2559
11 Te 0.2558 0.2558 0.2520
12 Te 0.2559 0.7481 0.7441
13 Te 0.7441 0.2519 0.2559
14 Te 0.7442 0.7442 0.7480
15 Te 0.7481 0.2559 0.7441
16 Te 0.7518 0.7518 0.2481

=====

Entry 3:
Computed, not measured: Mg2Sb2Pt after structural relaxation at the PBE-GGA level of DFT.

## Properties
Formation energy without anion corrections (eV/atom): -0.179
Magnetization (μB per formula unit): 0.00
Polymorph energy (0 for the lowest one) (eV per atom): 0.000
Electronic total energy (eV/atom): -3.673
Space group: P4/mbm (127)

a = 7.2929 Å, b = 7.2929 Å, c = 4.3924 Å
α = 90.00°, β = 90.00°, γ = 90.00°
Atoms (fractional coordinates):
1 Mg 0.1548 0.3452 0.0000
2 Mg 0.3452 0.8452 0.0000
3 Mg 0.6548 0.1548 0.0000
4 Mg 0.8452 0.6548 0.0000
5 Sb 0.1594 0.6594 0.5000
6 Sb 0.3406 0.1594 0.5000
7 Sb 0.6594 0.8406 0.5000
8 Sb 0.8406 0.3406 0.5000
9 Pt 0.0000 0.0000 0.5000
10 Pt 0.5000 0.5000 0.5000

=====

Entry 4:
Computed, not measured: Cs2RePdS4 after structural relaxation at the PBE-GGA level of DFT.

## Properties
Formation energy without anion corrections (eV/atom): -0.760
Magnetization (μB per formula unit): 1.02
Electronic total energy (eV/atom): -5.242
Space group: Fddd (70)

a = 14.2788 Å, b = 12.5802 Å, c = 7.8241 Å
α = 85.46°, β = 61.43°, γ = 33.11°
Atoms (fractional coordinates):
1 Cs 0.0523 0.0523 0.6977
2 Cs 0.3023 0.3023 0.9477
3 Cs 0.6977 0.6977 0.0523
4 Cs 0.9477 0.9477 0.3023
5 Re 0.3750 0.3750 0.3750
6 Re 0.6250 0.6250 0.6250
7 Pd 0.1250 0.1250 0.1250
8 Pd 0.8750 0.8750 0.8750
9 S 0.0085 0.6350 0.5589
10 S 0.2976 0.5589 0.6350
11 S 0.3650 0.9915 0.7024
12 S 0.4411 0.7024 0.9915
13 S 0.5589 0.2976 0.0085
14 S 0.6350 0.0085 0.2976
15 S 0.7024 0.4411 0.3650
16 S 0.9915 0.3650 0.4411

=====

Entry 5:
Computed, not measured: CeZn2Ge after structural relaxation at the PBE-GGA level of DFT.

## Properties
Magnetization (μB per formula unit): 0.43
Polymorph energy (0 for the lowest one) (eV per atom): 0.607
ΔH_f (0 K) (meV/atom): 272
Electronic total energy (eV/atom): -3.003
Space group: R-3m (166)

a = 10.6892 Å, b = 10.6892 Å, c = 10.6892 Å
α = 16.06°, β = 16.06°, γ = 16.06°
Atoms (fractional coordinates):
1 Ce 0.0000 0.0000 0.0000
2 Zn 0.0965 0.0965 0.0965
3 Zn 0.9035 0.9035 0.9035
4 Ge 0.5000 0.5000 0.5000

=====

Entry 6:
Computed, not measured: BaTbIn4 after structural relaxation at the PBE-GGA level of DFT.

## Properties
Magnetization (μB per formula unit): 0.00
ΔH_f (0 K) (meV/atom): -321
Electronic total energy (eV/atom): -3.239
Space group: F-43m (216)

a = 6.2320 Å, b = 6.2320 Å, c = 6.2320 Å
α = 60.00°, β = 60.00°, γ = 60.00°
Atoms (fractional coordinates):
1 Ba 0.0000 0.0000 0.0000
2 Tb 0.2500 0.2500 0.2500
3 In 0.1261 0.6246 0.6246
4 In 0.6246 0.1261 0.6246
5 In 0.6246 0.6246 0.1261
6 In 0.6246 0.6246 0.6246

=====

Entry 7:
Computed, not measured: Y7ErIn4 after structural relaxation at the PBE-GGA level of DFT.

## Properties
Magnetization (μB per formula unit): 0.00
ΔH_f (0 K) (meV/atom): -123
Electronic total energy (eV/atom): -5.187
Space group: C2/m (12)

a = 7.7926 Å, b = 7.7926 Å, c = 10.4875 Å
α = 121.31°, β = 121.31°, γ = 42.55°
Atoms (fractional coordinates):
1 Y 0.0000 0.0000 0.0000
2 Y 0.2195 0.2195 0.6615
3 Y 0.2890 0.2890 0.1213
4 Y 0.4364 0.4364 0.6062
5 Y 0.5636 0.5636 0.3938
6 Y 0.7110 0.7110 0.8787
7 Y 0.7805 0.7805 0.3385
8 Er 0.5000 0.5000 0.0000
9 In 0.0601 0.0601 0.7572
10 In 0.1814 0.1814 0.3342
11 In 0.8186 0.8186 0.6658
12 In 0.9399 0.9399 0.2428

=====

Entry 8:
Computed, not measured: Ti3CrPb after structural relaxation at the PBE-GGA level of DFT.

## Properties
Magnetization (μB per formula unit): 1.76
Polymorph energy (0 for the lowest one) (eV per atom): 0.000
ΔH_f (0 K) (meV/atom): 426
Electronic total energy (eV/atom): -6.978
Space group: Pm-3m (221)

a = 4.5884 Å, b = 4.5884 Å, c = 4.5884 Å
α = 90.00°, β = 90.00°, γ = 90.00°
Atoms (fractional coordinates):
1 Ti 0.0000 0.0000 0.5000
2 Ti 0.0000 0.5000 0.0000
3 Ti 0.5000 0.0000 0.0000
4 Cr 0.0000 0.0000 0.0000
5 Pb 0.5000 0.5000 0.5000

=====

The lowest electronic total energy belongs to which entry? SrSm2NbN4